(1)
First-principles (PBE-GGA) data for a relaxed structure of LaCr3Ge, as listed in Alexandria via LeMat-Bulk.

Computed properties:
Theoretical density, g cm⁻³: 6.55
Offset from the most stable computed form, kJ per mole of atoms: 141.81
ΔE_f, meV/atom: 2146.0

Structure (POSCAR):
```
LaCr3Ge
1.0
4.534 0.000 0.000
0.000 4.534 0.000
0.000 0.000 4.534
La Cr Ge
1 3 1
Direct
0.000 0.000 0.000
0.000 0.000 0.500
0.000 0.500 0.000
0.500 0.000 0.000
0.500 0.500 0.500
```

---

(2)
First-principles (PBE-GGA) data for a relaxed structure of ReSbPb, as listed in Alexandria via LeMat-Bulk.

Computed properties:
Theoretical density, g cm⁻³: 12.54
Uncorrected formation energy, eV per atom: 0.875
Offset from the most stable computed form, kJ per mole of atoms: 36.75

Structure (POSCAR):
```
ReSbPb
1.0
4.686 0.000 0.000
-2.343 4.058 0.000
0.000 0.000 3.586
Re Sb Pb
1 1 1
Direct
0.000 0.000 0.000
0.667 0.333 0.000
0.333 0.667 0.500
```

---

(3)
First-principles (PBE-GGA) data for a relaxed structure of KSnI4, as listed in Alexandria via LeMat-Bulk.

Computed properties:
Theoretical density, g cm⁻³: 3.42
Uncorrected formation energy, eV per atom: -0.720
Offset from the most stable computed form, kJ per mole of atoms: 0.00

Structure (POSCAR):
```
KSnI4
1.0
9.663 0.000 0.000
0.000 13.128 0.000
-6.215 0.000 10.181
K Sn I
4 4 16
Direct
0.210 0.107 0.339
0.210 0.393 0.839
0.790 0.607 0.161
0.790 0.893 0.661
0.334 0.731 0.207
0.334 0.769 0.707
0.666 0.231 0.293
0.666 0.269 0.793
0.118 0.587 0.578
0.118 0.913 0.078
0.205 0.551 0.251
0.205 0.949 0.751
0.319 0.223 0.116
0.319 0.277 0.616
0.346 0.648 0.982
0.346 0.852 0.482
0.654 0.148 0.518
0.654 0.352 0.018
0.681 0.723 0.384
0.681 0.777 0.884
0.795 0.051 0.249
0.795 0.449 0.749
0.882 0.087 0.922
0.882 0.413 0.422
```

---

(4)
First-principles (PBE-GGA) data for a relaxed structure of K2GeMoPb, as listed in Alexandria via LeMat-Bulk.

Computed properties:
Theoretical density, g cm⁻³: 3.04
ΔE_f, meV/atom: 1212.2

Structure (POSCAR):
```
K2GeMoPb
1.0
6.874 0.000 0.000
0.000 6.874 0.000
0.000 0.000 5.244
K Ge Mo Pb
2 1 1 1
Direct
0.000 0.500 0.000
0.500 0.000 0.000
0.000 0.000 0.500
0.500 0.500 0.500
0.000 0.000 0.000
```